A plane-wave DFT calculation with PBE-GGA was carried out for an optimized crystal structure of CaAcLaDy.

Structure (POSCAR):
```
CaAcLaDy
1.0
3.792 0.000 0.000
-1.896 3.284 0.000
0.000 0.000 12.410
Ca Ac La Dy
1 1 1 1
Cartesian
0.000 0.000 0.000
1.896 1.095 9.096
0.000 2.189 5.925
1.896 1.095 3.038
```

Properties
calculated formation energy = 67 meV per atom
DOS at the Fermi energy = 6.40 states/eV/cell